Below is a relaxed DyHf2Tc9 crystal, with properties calculated at the PBE level.

* total DFT energy (no corrections): -9.975 eV/atom
* ΔH_f (0 K): -0.158 eV/atom

Lattice parameters (Å, degrees): 9.180 9.180 9.180 33.21 33.21 33.21
Fractional coordinates of all 12 atoms:
Dy (0.000, 0.000, 0.000)
Hf (0.143, 0.143, 0.143)
Hf (0.857, 0.857, 0.857)
Tc (0.076, 0.591, 0.591)
Tc (0.336, 0.336, 0.336)
Tc (0.409, 0.409, 0.924)
Tc (0.409, 0.924, 0.409)
Tc (0.500, 0.500, 0.500)
Tc (0.591, 0.076, 0.591)
Tc (0.591, 0.591, 0.076)
Tc (0.664, 0.664, 0.664)
Tc (0.924, 0.409, 0.409)